Entry 1:
## Ba12Sb3Rh5 (GGA-PBE)

Data for a geometry-optimized Ba12Sb3Rh5 structure.

a = 16.495 Å, b = 16.495 Å, c = 16.495 Å
α = 109.47°, β = 109.47°, γ = 109.47°
Atoms (fractional coordinates):
Ba  0.031  0.209  0.126
Ba  0.031  0.322  0.905
Ba  0.083  0.709  0.678
Ba  0.083  0.874  0.405
Ba  0.095  0.626  0.417
Ba  0.095  0.969  0.678
Ba  0.126  0.031  0.209
Ba  0.126  0.595  0.917
Ba  0.178  0.209  0.583
Ba  0.178  0.469  0.595
Ba  0.209  0.126  0.031
Ba  0.209  0.583  0.178
Ba  0.291  0.322  0.917
Ba  0.291  0.469  0.374
Ba  0.322  0.905  0.031
Ba  0.322  0.917  0.291
Ba  0.374  0.291  0.469
Ba  0.374  0.583  0.905
Ba  0.405  0.083  0.874
Ba  0.405  0.822  0.531
Ba  0.417  0.095  0.626
Ba  0.417  0.822  0.791
Ba  0.469  0.374  0.291
Ba  0.469  0.595  0.178
Ba  0.531  0.405  0.822
Ba  0.531  0.626  0.709
Ba  0.583  0.178  0.209
Ba  0.583  0.905  0.374
Ba  0.595  0.178  0.469
Ba  0.595  0.917  0.126
Ba  0.626  0.417  0.095
Ba  0.626  0.709  0.531
Ba  0.678  0.083  0.709
Ba  0.678  0.095  0.969
Ba  0.709  0.531  0.626
Ba  0.709  0.678  0.083
Ba  0.791  0.417  0.822
Ba  0.791  0.874  0.969
Ba  0.822  0.531  0.405
Ba  0.822  0.791  0.417
Ba  0.874  0.405  0.083
Ba  0.874  0.969  0.791
Ba  0.905  0.031  0.322
Ba  0.905  0.374  0.583
Ba  0.917  0.126  0.595
Ba  0.917  0.291  0.322
Ba  0.969  0.678  0.095
Ba  0.969  0.791  0.874
Sb  0.125  0.250  0.375
Sb  0.125  0.375  0.750
Sb  0.250  0.375  0.125
Sb  0.250  0.875  0.625
Sb  0.375  0.125  0.250
Sb  0.375  0.750  0.125
Sb  0.625  0.250  0.875
Sb  0.625  0.875  0.750
Sb  0.750  0.125  0.375
Sb  0.750  0.625  0.875
Sb  0.875  0.625  0.250
Sb  0.875  0.750  0.625
Rh  0.000  0.000  0.000
Rh  0.000  0.000  0.500
Rh  0.000  0.500  0.000
Rh  0.000  0.500  0.500
Rh  0.125  0.750  0.875
Rh  0.125  0.875  0.250
Rh  0.250  0.125  0.875
Rh  0.250  0.625  0.375
Rh  0.375  0.250  0.625
Rh  0.375  0.625  0.750
Rh  0.500  0.000  0.000
Rh  0.500  0.000  0.500
Rh  0.500  0.500  0.000
Rh  0.500  0.500  0.500
Rh  0.625  0.375  0.250
Rh  0.625  0.750  0.375
Rh  0.750  0.375  0.625
Rh  0.750  0.875  0.125
Rh  0.875  0.125  0.750
Rh  0.875  0.250  0.125



Entry 2:
## BaSbRh2 (GGA-PBE)

Data for a geometry-optimized BaSbRh2 structure.

a = 4.887 Å, b = 4.346 Å, c = 5.311 Å
α = 90.00°, β = 105.39°, γ = 90.00°
Atoms (fractional coordinates):
Ba  0.000  0.000  0.000
Sb  0.327  0.500  0.605
Rh  0.549  0.000  0.476
Rh  0.796  0.500  0.390



no.,formation energy without anion corrections (kcal/mol of atoms)
1,-8.75
2,-6.17